## A
Entry from Alexandria via LeMat-Bulk: a geometry-optimized Ca2AcRh structure (GGA-PBE).

Cell and atoms, written as POSCAR:
```
Ca2AcRh
1.0
-0.0066 -3.6294 -0.7422
2.2208 -2.2818 1.8934
-7.3459 -3.5143 8.0052
Ac Rh Ca
1 1 2
Direct
0.0000 0.0000 0.0000 Ac
0.5000 0.5000 0.5000 Rh
0.1115 0.1115 0.6656 Ca
0.8885 0.8885 0.3344 Ca
```

Output
- SG = R-3m, No. 166


## B
Entry from Alexandria via LeMat-Bulk: a geometry-optimized Ca2AcRh structure (GGA-PBE).

Cell and atoms, written as POSCAR:
```
Ca2AcRh
1.0
4.1106 0.0008 0.0000
-2.0551 6.5161 0.0000
0.0000 0.0000 9.7490
Ca Ac Rh
4 2 2
Direct
0.3466 0.6934 0.5705 Ca
0.6534 0.3066 0.4295 Ca
0.6534 0.3066 0.0705 Ca
0.3466 0.6934 0.9295 Ca
0.9210 0.8422 0.2500 Ac
0.0790 0.1578 0.7500 Ac
0.2685 0.5369 0.2500 Rh
0.7315 0.4631 0.7500 Rh
```

Output
- SG = Cmcm, No. 63


## C
Entry from Alexandria via LeMat-Bulk: a geometry-optimized Ca2AcRh structure (GGA-PBE).

Cell and atoms, written as POSCAR:
```
Ca2AcRh
1.0
-1.5333 -0.0680 -3.2457
3.1058 -1.0756 -1.4447
-2.5522 -9.2494 1.3995
Ca Ac Rh
2 1 1
Direct
0.0000 0.0000 0.1678 Ca
0.0000 0.0000 0.8322 Ca
0.5000 0.5000 0.5000 Ac
0.5000 0.5000 0.0000 Rh
```

Output
- SG = P4/mmm, No. 123


Unit: meV/atom. Relative energies: A 411; B 0; C 245.


## A
Entry from Alexandria via LeMat-Bulk: a geometry-optimized Ca3AcRh structure (GGA-PBE).

Cell and atoms, written as POSCAR:
```
Ca3AcRh
1.0
5.6042 0.0000 0.0000
0.0000 5.6042 0.0000
0.0000 0.0000 5.6042
Ca Ac Rh
3 1 1
Direct
0.0000 0.5000 0.0000 Ca
0.0000 0.0000 0.5000 Ca
0.5000 0.0000 0.0000 Ca
0.5000 0.5000 0.5000 Ac
0.0000 0.0000 0.0000 Rh
```

Output
- SG = Pm-3m, No. 221


## B
Entry from Alexandria via LeMat-Bulk: a geometry-optimized Ca3AcRh structure (GGA-PBE).

Cell and atoms, written as POSCAR:
```
Ca3AcRh
1.0
6.6466 -0.0001 -0.0004
0.0004 6.8464 -0.0007
-0.0003 0.0014 8.0798
Rh Ca Ac
2 6 2
Direct
0.1836 0.6693 0.7007 Rh
0.6836 0.6834 0.2007 Rh
0.9270 0.5081 0.9497 Ca
0.4269 0.8447 0.9518 Ca
0.4235 0.3548 0.2009 Ca
0.9269 0.5080 0.4518 Ca
0.9236 0.9981 0.7008 Ca
0.4270 0.8447 0.4498 Ca
0.4171 0.3471 0.7009 Ac
0.9170 0.0057 0.2007 Ac
```

Output
- SG = Pmn2_1, No. 31


## C
Entry from Alexandria via LeMat-Bulk: a geometry-optimized Ca3AcRh structure (GGA-PBE).

Cell and atoms, written as POSCAR:
```
Ca3AcRh
1.0
-1.3544 4.2338 -4.6646
-8.3946 0.5503 2.9368
-2.8059 5.8185 4.4070
Ca Ac Rh
6 2 2
Direct
0.4108 0.6775 0.8541 Ca
0.9732 0.9722 0.2849 Ca
0.4674 0.1857 0.3478 Ca
0.4109 0.1876 0.8540 Ca
0.9732 0.4621 0.2849 Ca
0.9166 0.4640 0.7912 Ca
0.4732 0.6851 0.3491 Ac
0.9109 0.9646 0.7899 Ac
0.1920 0.3248 0.0695 Rh
0.1920 0.8249 0.0695 Rh
```

Output
- SG = C2/m, No. 12


Unit: meV/atom. Relative energies: A 112; B 0; C 18.